Li12PmPd6 | PBE-GGA | optimized geometry Values from VASP.

The structure in Quantum ESPRESSO input format:
```
&SYSTEM
  ibrav = 0, nat = 19, ntyp = 3
/
ATOMIC_SPECIES
Li 6.94 Li.upf
Pd 106.42 Pd.upf
Pm 145.00 Pm.upf
CELL_PARAMETERS angstrom
6.961 0.586 0.825
-1.158 6.889 0.825
-1.158 -1.492 6.776
ATOMIC_POSITIONS angstrom
Li -0.722 5.355 4.213
Li 2.077 5.095 4.612
Li 2.077 2.675 6.331
Li 2.322 6.134 1.981
Li 2.322 -0.151 6.444
Li 2.568 0.888 3.814
Li 2.568 3.308 2.095
Li 5.367 0.628 4.213
Li -0.722 2.212 6.444
Li 5.367 3.771 1.981
Li 0.223 2.708 3.814
Li 4.421 3.275 4.612
Pd 0.187 4.548 6.405
Pd 0.285 0.367 5.079
Pd 0.285 4.674 2.020
Pd 4.458 1.435 2.020
Pd 4.360 5.616 3.347
Pd 4.360 1.309 6.405
Pm 0.000 0.000 0.000
```

The raw total energy is -3.37 eV/atom. The value obtained for the formation enthalpy at 0 K is -0.27 eV/atom. The volume comes out at 18.18 A^3/atom. For the total moment, the calculation gives 0.000 μB/f.u. The density of states at the Fermi level is 0.326 states/eV/atom.